# 1
VASP calculation (GGA-PBE) on a geometry-optimized Re3Ir structure.

Results
* M_tot: 0.000 μB per atom
* theoretical density: 21.0 g/cm³
* calculated formation energy: -0.079 eV per atom

a b c (Å): 3.902 3.902 7.784
angles (deg): 90.00 90.00 90.00
Space group I4/mmm (No. 139)
Asymmetric unit:
Re 0.000 0.000 0.000
Re 0.000 0.500 0.250
Ir 0.000 0.000 0.500

# 2
VASP calculation (GGA-PBE) on a geometry-optimized Te2CIF structure.

Results
* polymorph energy (0 for the lowest one): 0 meV per atom
* M_tot: 0.000 μB per atom
* theoretical density: 6.1 g/cm³
* formation energy from raw total energies: 80 kJ per mole of atoms

a b c (Å): 4.720 4.720 5.049
angles (deg): 90.00 90.00 90.00
Space group P4/mmm (No. 123)
Asymmetric unit:
Te 0.000 0.500 0.000
C 0.000 0.000 0.000
I 0.000 0.000 0.500
F 0.500 0.500 0.500

# 3
VASP calculation (GGA-PBE) on a geometry-optimized Y2InNiN structure.

Results
* M_tot: 0.000 μB per atom
* theoretical density: 6.5 g/cm³
* formation energy from raw total energies: -67 kJ per mole of atoms

a b c (Å): 4.880 4.880 3.946
angles (deg): 90.00 90.00 90.00
Space group P4/mmm (No. 123)
Asymmetric unit:
Y 0.000 0.500 0.000
In 0.000 0.000 0.500
Ni 0.500 0.500 0.500
N 0.500 0.500 0.000

# 4
VASP calculation (GGA-PBE) on a geometry-optimized AgP2Cl structure.

Results
* polymorph energy (0 for the lowest one): 0 meV per atom
* M_tot: 0.000 μB per atom
* theoretical density: 3.6 g/cm³
* formation energy from raw total energies: -11 kJ per mole of atoms

a b c (Å): 4.761 3.309 6.341
angles (deg): 90.00 106.35 90.00
Space group Pm (No. 6)
Asymmetric unit:
Ag 0.000 0.000 0.000
P 0.509 0.500 0.344
P 0.550 0.000 0.122
Cl 0.931 0.500 0.594

# 5
VASP calculation (GGA-PBE) on a geometry-optimized Hf6Al2Fe structure.

Results
* M_tot: 0.000 μB per atom
* theoretical density: 11.2 g/cm³
* calculated formation energy: -0.297 eV per atom

a b c (Å): 7.8755 7.8755 3.2735
angles (deg): 90.00 90.00 120.00
Space group P-62m (No. 189)
Asymmetric unit:
Hf 0.0000 0.3940 0.0000
Hf 0.0000 0.7490 0.5000
Al 0.3333 0.6667 0.5000
Fe 0.0000 0.0000 0.0000

# 6
VASP calculation (GGA-PBE) on a geometry-optimized AlAsAuBr2 structure.

Results
* polymorph energy (0 for the lowest one): 0 meV per atom
* M_tot: 0.000 μB per atom
* theoretical density: 6.0 g/cm³
* formation energy from raw total energies: 21 kJ per mole of atoms

a b c (Å): 4.843 4.843 5.397
angles (deg): 90.00 90.00 90.00
Space group P4/mmm (No. 123)
Asymmetric unit:
Al 0.000 0.000 0.000
As 0.000 0.000 0.500
Au 0.500 0.500 0.500
Br 0.000 0.500 0.000

# 7
VASP calculation (GGA-PBE) on a geometry-optimized Ac5Nd3Cd12 structure.

Results
* M_tot: 0.000 μB per atom
* theoretical density: 6.2 g/cm³
* calculated formation energy: 0.182 eV per atom

a b c (Å): 18.460 18.460 18.460
angles (deg): 90.00 90.00 90.00
Space group Ia-3d (No. 230)
Asymmetric unit:
Ac 0.000 0.000 0.000
Ac 0.000 0.250 0.375
Nd 0.000 0.250 0.125
Cd 0.002 0.081 0.154

# 8
VASP calculation (GGA-PBE) on a geometry-optimized Na2LiAuF6 structure.

Results
* polymorph energy (0 for the lowest one): 109 meV per atom
* M_tot: 0.200 μB per atom
* theoretical density: 4.4 g/cm³
* formation energy from raw total energies: -190 kJ per mole of atoms

a b c (Å): 8.221 8.221 8.221
angles (deg): 90.00 90.00 90.00
Space group Fm-3m (No. 225)
Asymmetric unit:
Na 0.250 0.250 0.250
Li 0.000 0.000 0.000
Au 0.000 0.000 0.500
F 0.000 0.000 0.242

# 9
VASP calculation (GGA-PBE) on a geometry-optimized Dy12Ir3O5 structure.

Results
* M_tot: 0.000 μB per atom
* theoretical density: 10.0 g/cm³
* formation energy from raw total energies: -164 kJ per mole of atoms

a b c (Å): 15.126 15.126 15.126
angles (deg): 90.00 90.00 90.00
Space group Ia-3d (No. 230)
Asymmetric unit:
Dy 0.032 0.056 0.652
Ir 0.000 0.250 0.125
O 0.000 0.000 0.000
O 0.000 0.250 0.375

# 10
VASP calculation (GGA-PBE) on a geometry-optimized Sc2Si2Rh5Au structure.

Results
* M_tot: 0.000 μB per atom
* theoretical density: 9.1 g/cm³
* formation energy from raw total energies: -82 kJ per mole of atoms

a b c (Å): 9.502 9.502 3.477
angles (deg): 90.00 90.00 90.00
Space group P4/mbm (No. 127)
Asymmetric unit:
Sc 0.173 0.327 0.000
Si 0.127 0.627 0.000
Rh 0.000 0.500 0.500
Rh 0.071 0.787 0.500
Au 0.000 0.000 0.000

# 11
VASP calculation (GGA-PBE) on a geometry-optimized SbPF2 structure.

Results
* polymorph energy (0 for the lowest one): 61 meV per atom
* M_tot: 0.000 μB per atom
* theoretical density: 5.1 g/cm³
* formation energy from raw total energies: -87 kJ per mole of atoms

a b c (Å): 3.924 3.924 16.135
angles (deg): 90.00 90.00 90.00
Space group I-42d (No. 122)
Asymmetric unit:
Sb 0.000 0.000 0.000
P 0.000 0.000 0.500
F 0.243 0.250 0.125

# 12
VASP calculation (GGA-PBE) on a geometry-optimized AlAuBr2 structure.

Results
* polymorph energy (0 for the lowest one): 271 meV per atom
* M_tot: 0.000 μB per atom
* theoretical density: 5.3 g/cm³
* formation energy from raw total energies: -30 kJ per mole of atoms

a b c (Å): 3.580 7.282 9.203
angles (deg): 90.00 90.00 90.00
Space group Cmm2 (No. 35)
Asymmetric unit:
Al 0.000 0.000 0.000
Au 0.000 0.500 0.818
Br 0.000 0.000 0.604
Br 0.000 0.500 0.205